Entry 1:
Pm2Fe3B4: optimized geometry, PBE.

It has space group Fmmm (No. 69), with a = 4.9385 Å, b = 8.3305 Å, c = 12.3792 Å, α = 90.00°, β = 90.00° and γ = 90.00°. Symmetry generates all atoms from Pm at (0.0000, 0.0000, 0.1542), Fe at (0.0000, 0.0000, 0.5000), Fe at (0.2500, 0.2500, 0.0000) and B at (0.0000, 0.1649, 0.3829).

The calculation puts the volume at 509 Å³ per cell. The formation energy is 0.05 eV/atom. For the energy, the calculation gives -6.7934 eV per atom.

***

Entry 2:
Sm3YAl8: optimized geometry, PBE.

It has space group P3m1 (No. 156), with a = 5.6087 Å, b = 5.6087 Å, c = 9.2432 Å, α = 90.00°, β = 90.00° and γ = 120.00°. Symmetry generates all atoms from Sm at (0.0000, 0.0000, 0.0000), Sm at (0.0000, 0.0000, 0.3633), Sm at (0.3333, 0.6667, 0.8636), Y at (0.3333, 0.6667, 0.4991), Al at (0.0090, 0.5045, 0.1823), Al at (0.3245, 0.1623, 0.6795), Al at (0.6667, 0.3333, 0.4318) and Al at (0.6667, 0.3333, 0.9300).

The calculation puts the volume at 252 Å³ per cell. The formation energy is -0.51 eV/atom. The energy above the most stable polymorph in this dataset comes out at 9 meV/atom. For the energy, the calculation gives -4.7194 eV per atom.

***

Entry 3:
CeNdCo: optimized geometry, PBE.

It has space group P2_1/c (No. 14), with a = 5.9215 Å, b = 7.3854 Å, c = 7.0299 Å, α = 90.00°, β = 107.21° and γ = 90.00°. Symmetry generates all atoms from Ce at (0.2432, 0.1387, 0.4391), Nd at (0.2586, 0.6577, 0.5748) and Co at (0.2173, 0.0516, 0.7349).

The calculation puts the volume at 294 Å³ per cell. The formation energy is -0.07 eV/atom. The energy above the most stable polymorph in this dataset comes out at 56 meV/atom. For the energy, the calculation gives -6.0033 eV per atom.

***

Entry 4:
Nd2CuSnS5: optimized geometry, PBE.

It has space group Cmc2_1 (No. 36), with a = 3.9107 Å, b = 16.7063 Å, c = 11.8096 Å, α = 90.00°, β = 90.00° and γ = 90.00°. Symmetry generates all atoms from Nd at (0.0000, 0.1152, 0.0000), Nd at (0.0000, 0.1190, 0.6181), Cu at (0.0000, 0.4986, 0.3010), Sn at (0.0000, 0.1897, 0.3152), S at (0.0000, 0.0397, 0.3821), S at (0.0000, 0.2914, 0.9761), S at (0.0000, 0.2984, 0.6470), S at (0.0000, 0.3554, 0.3122) and S at (0.0000, 0.4939, 0.6068).

The calculation puts the volume at 772 Å³ per cell. The uncorrected formation energy comes out at -1.258 eV per atom. For the energy, the calculation gives -5.5100 eV per atom.

***

- Number 3 is which compound?
  CeNdCo